[1]
First-principles (GGA-PBE) data for an optimized crystal structure of CsZrNbZn2, as listed in Alexandria via LeMat-Bulk.

ΔE_f = 222.7 kJ per mole of atoms
Space-group type = P4/mmm (123)

Geometry as POSCAR:
```
CsZrNbZn2
1.0
-3.8441 1.3506 -3.2101
-2.2921 -4.7210 0.7585
-2.6649 1.9375 4.0063
Cs Zn Zr Nb
1 2 1 1
Direct
0.0000 0.0000 0.0000 Cs
0.0000 0.0000 0.5000 Zn
0.5000 0.0000 0.0000 Zn
0.0000 0.5000 0.0000 Zr
0.5000 0.5000 0.5000 Nb
```

[2]
First-principles (GGA-PBE) data for an optimized crystal structure of Ac2CdRh9, as listed in Alexandria via LeMat-Bulk.

ΔE_f = -19.4 kJ per mole of atoms
Space-group type = R-3m (166)

Geometry as POSCAR:
```
Ac2CdRh9
1.0
-0.8129 -4.1125 3.2887
3.8025 -1.4545 3.4372
-2.4565 3.7934 8.4525
Rh Ac Cd
9 2 1
Direct
0.4219 0.9192 0.2370 Rh
0.3327 0.3327 0.0020 Rh
0.5781 0.5781 0.7630 Rh
0.0808 0.5781 0.7630 Rh
0.4219 0.4219 0.2370 Rh
0.6673 0.6673 0.9980 Rh
0.5781 0.0808 0.7630 Rh
0.5000 0.5000 0.5000 Rh
0.9192 0.4219 0.2370 Rh
0.8644 0.8644 0.4068 Ac
0.1356 0.1356 0.5932 Ac
0.0000 0.0000 0.0000 Cd
```